(1)
ZrBeSe after structural relaxation. Source: the Alexandria database, functional PBE-GGA.

D(E_F)   1.0462 states/eV/atom
Total magnetic moment   0.00 μB/atom
Uncorrected formation energy   54 kJ/mol of formula units
Energy relative to the lowest polymorph listed for this composition   546 meV per atom
Energy   -5.0663 eV per atom

Unit cell a=6.173 b=6.173 c=6.173 alpha=90.00 beta=90.00 gamma=90.00
Atoms (fractional coordinates):
Zr (0.000, 0.000, 0.000)
Zr (0.000, 0.500, 0.500)
Zr (0.500, 0.000, 0.500)
Zr (0.500, 0.500, 0.000)
Be (0.000, 0.000, 0.500)
Be (0.000, 0.500, 0.000)
Be (0.500, 0.000, 0.000)
Be (0.500, 0.500, 0.500)
Se (0.250, 0.250, 0.750)
Se (0.250, 0.750, 0.250)
Se (0.750, 0.250, 0.250)
Se (0.750, 0.750, 0.750)

=====

(2)
LiLaCr2 after structural relaxation. Source: the Alexandria database, functional PBE-GGA.

D(E_F)   0.9071 states/eV/atom
Total magnetic moment   0.15 μB/atom
Energy relative to the lowest polymorph listed for this composition   213 meV per atom
E_form   0.60 eV/atom
Energy   -5.9234 eV per atom

Unit cell a=4.790 b=3.445 c=4.844 alpha=90.00 beta=91.07 gamma=90.00
Atoms (fractional coordinates):
Li (0.000, 0.000, 0.000)
La (0.500, 0.500, 0.000)
Cr (0.000, 0.500, 0.500)
Cr (0.500, 0.000, 0.500)